DFT (PBE) results for a relaxed structure of CdSnOF2.

Calculated values
The value obtained for the total magnetic moment is 0.00 μB/cell. The calculation puts the energy above the most stable polymorph in this dataset at 0.284 eV/f.u. The calculation puts the formation energy without anion corrections at -1.341 eV per atom.

Unit cell a=4.3484 b=4.3484 c=4.4265 alpha=90.00 beta=90.00 gamma=90.00
Space group P4/mmm (No. 123)
Unique sites:
Cd 0.0000 0.0000 0.0000 [1 per cell]
Sn 0.5000 0.5000 0.5000 [1 per cell]
O 0.0000 0.0000 0.5000 [1 per cell]
F 0.0000 0.5000 0.0000 [2 per cell]



DFT (PBE) results for a relaxed structure of InAg3.

Calculated values
For the formation energy, the calculation gives -14.2 meV per atom. The value obtained for the total magnetic moment is 0.00 μB/cell.

Unit cell a=3.2708 b=9.5050 c=4.9217 alpha=90.00 beta=90.00 gamma=90.00
Space group Imm2 (No. 44)
Unique sites:
In 0.0000 0.0000 0.0000 [2 per cell]
Ag 0.0000 0.2473 0.3791 [4 per cell]
Ag 0.0000 0.5000 0.0060 [2 per cell]



What is the total magnetic moment in the second record?
0.00 μB/cell